MnRhWO6: relaxed, PBE with a Hubbard U.

Calculated values
Volume (A^3/atom): 11.70
E_tot (Ry per atom): -0.53051

Cell: 5.0997 5.0997 9.3524 Å, 90.00 90.00 120.00°
Last column: magnetic moment on the atom in μB.
Fractional coordinates of all 18 atoms:
Mn 0.0000 0.0000 0.0000  4.45
Mn 0.0000 0.0000 0.5000  4.45
Rh 0.3333 0.6667 0.2500  -0.36
Rh 0.6667 0.3333 0.7500  -0.36
W 0.6667 0.3333 0.2500  0.12
W 0.3333 0.6667 0.7500  0.12
O 0.6590 0.6471 0.1321  -0.06
O 0.9880 0.3410 0.1321  -0.06
O 0.3410 0.9880 0.6321  -0.06
O 0.0120 0.6590 0.8679  -0.06
O 0.3529 0.3410 0.3679  -0.06
O 0.9880 0.6471 0.3679  -0.06
O 0.6471 0.9880 0.8679  -0.06
O 0.6590 0.0120 0.3679  -0.06
O 0.0120 0.3529 0.6321  -0.06
O 0.3529 0.0120 0.1321  -0.06
O 0.6471 0.6590 0.6321  -0.06
O 0.3410 0.3529 0.8679  -0.06